The following is a PBE calculation of BaCdAsF after structural relaxation, from Alexandria via LeMat-Bulk.

abc: 4.4711 4.4711 9.7163
angles: 90.00 90.00 90.00
Fractional positions:
Ba: 0.0000 0.5000 0.8454
Ba: 0.5000 0.0000 0.1546
Cd: 0.5000 0.5000 0.5000
Cd: 0.0000 0.0000 0.5000
As: 0.0000 0.5000 0.3236
As: 0.5000 0.0000 0.6764
F: 0.5000 0.5000 0.0000
F: 0.0000 0.0000 0.0000

Values from the calculation:
ΔE_f (raw) (eV per atom): -1.86
Electronic total energy (eV/atom): -4.198


The following is a PBE calculation of ErGaBr4 after structural relaxation, from Alexandria via LeMat-Bulk.

abc: 4.1828 7.2742 7.8913
angles: 99.26 90.00 106.98
Fractional positions:
Er: 0.9999 0.9999 0.9999
Ga: 0.5002 0.0001 0.4999
Br: 0.8855 0.7746 0.6802
Br: 0.1145 0.2254 0.3197
Br: 0.3838 0.7712 0.1065
Br: 0.6160 0.2287 0.8936

Values from the calculation:
ΔE_f (raw) (eV per atom): -1.41
Fermi-level density of states (states/eV per atom): 0.000
Electronic total energy (eV/atom): -3.795


The following is a PBE calculation of KGa2AsH2 after structural relaxation, from Alexandria via LeMat-Bulk.

abc: 6.1399 7.3417 6.9328
angles: 128.96 90.00 90.00
Fractional positions:
K: 0.7500 0.2518 0.7556
K: 0.2500 0.7482 0.2444
Ga: 0.4963 0.2261 0.2687
Ga: 0.0037 0.2261 0.2687
Ga: 0.9963 0.7739 0.7313
Ga: 0.5037 0.7739 0.7313
As: 0.2500 0.1558 0.9212
As: 0.7500 0.8442 0.0788
H: 0.2500 0.2082 0.4094
H: 0.2500 0.6182 0.6639
H: 0.7500 0.7918 0.5906
H: 0.7500 0.3818 0.3361

Values from the calculation:
Fermi-level density of states (states/eV per atom): 0.148
Electronic total energy (eV/atom): -3.136


The following is a PBE calculation of Be2As2P after structural relaxation, from Alexandria via LeMat-Bulk.

abc: 3.4185 3.4185 6.8748
angles: 75.60 75.60 90.00
Fractional positions:
P: 0.0000 0.0000 0.0000
As: 0.3724 0.3724 0.2553
As: 0.6276 0.6276 0.7447
Be: 0.7500 0.2500 0.5000
Be: 0.2500 0.7500 0.5000

Values from the calculation:
Energy relative to the elements (meV per atom): 430
Energy above the lowest structure with this stoichiometry (meV/atom): 0
Fermi-level density of states (states/eV per atom): 0.491
Electronic total energy (eV/atom): -4.003


The following is a PBE calculation of CsCeCl4 after structural relaxation, from Alexandria via LeMat-Bulk.

abc: 7.0933 8.8087 8.7735
angles: 114.25 106.91 103.04
Last column: magnetic moment on the atom in μB.
Fractional positions:
Cs: 0.3916 0.6416 0.2833  0.00
Cs: 0.6084 0.3584 0.7167  0.00
Ce: 0.2449 0.9949 0.9898  0.95
Ce: 0.7551 0.0051 0.0102  0.95
Cl: 0.0088 0.1948 0.8877  -0.01
Cl: 0.8180 0.7574 0.7037  -0.01
Cl: 0.3789 0.6929 0.8877  -0.01
Cl: 0.3857 0.9463 0.7037  -0.01
Cl: 0.6143 0.0537 0.2963  -0.01
Cl: 0.6211 0.3071 0.1123  -0.01
Cl: 0.1820 0.2426 0.2963  -0.01
Cl: 0.9912 0.8052 0.1123  -0.01

Values from the calculation:
Energy above the lowest structure with this stoichiometry (meV/atom): 39
ΔE_f (raw) (eV per atom): -2.12
Fermi-level density of states (states/eV per atom): 0.897
Electronic total energy (eV/atom): -4.487


The following is a PBE calculation of Pm2YPu after structural relaxation, from Alexandria via LeMat-Bulk.

abc: 5.6799 5.6799 5.6799
angles: 60.00 60.00 60.00
Last column: magnetic moment on the atom in μB.
Fractional positions:
Y: 0.5000 0.5000 0.5000  0.24
Pm: 0.2500 0.2500 0.2500  0.27
Pm: 0.7500 0.7500 0.7500  0.27
Pu: 0.0000 0.0000 0.0000  5.62

Values from the calculation:
Energy relative to the elements (meV per atom): 214
Energy above the lowest structure with this stoichiometry (meV/atom): 104
Fermi-level density of states (states/eV per atom): 3.184
Electronic total energy (eV/atom): -7.361


The following is a PBE calculation of Te2MoP after structural relaxation, from Alexandria via LeMat-Bulk.

abc: 3.3077 3.3077 7.9752
angles: 90.00 90.00 90.00
Fractional positions:
Te: 0.0000 0.0000 0.9196
Te: 0.5000 0.5000 0.3304
Mo: 0.0000 0.0000 0.5589
P: 0.5000 0.5000 0.6911

Values from the calculation:
ΔE_f (raw) (eV per atom): 0.04
Fermi-level density of states (states/eV per atom): 0.742
Electronic total energy (eV/atom): -5.590


The following is a PBE calculation of La2TbErS6 after structural relaxation, from Alexandria via LeMat-Bulk.

abc: 7.1338 7.1338 7.4175
angles: 61.26 61.26 60.00
Fractional positions:
La: 0.5249 0.5249 0.4253
La: 0.0255 0.0254 0.9237
Tb: 0.3154 0.3153 0.0540
Er: 0.8161 0.8162 0.5515
S: 0.6068 0.1907 0.2612
S: 0.1907 0.9414 0.2612
S: 0.9415 0.6067 0.2612
S: 0.4455 0.6930 0.7591
S: 0.6930 0.1024 0.7590
S: 0.1024 0.4456 0.7591

Values from the calculation:
ΔE_f (raw) (eV per atom): -2.11
Fermi-level density of states (states/eV per atom): 0.000
Electronic total energy (eV/atom): -6.489